# Cs2Sr2MoO6

An optimized crystal structure of Cs2Sr2MoO6 (GGA+U, Alexandria via LeMat-Bulk).

Energy (eV per atom): -5.8896
Symmetry: C2/m, No. 12
Magnetic moment (μB/atom): 0.0000

Cell lengths 6.1033, 6.1033, 7.1563 Å; angles 97.70, 97.70, 118.79 degrees
Closest atoms and distances in Å follow each position.
Fractional coordinates of all 11 atoms:
1 Mo 0.0000 0.0000 0.5000  6 O 1.98-1.99
2 O 0.3183 0.0464 0.6574  1 Mo 1.98
3 O 0.2123 0.2123 0.3352  1 Mo 1.99
4 Cs 0.1672 0.8328 0.0000  4 O 2.98-2.99
5 Sr 0.3365 0.6635 0.5000  6 O 2.51-2.54
6 O 0.9536 0.6817 0.3426  1 Mo 1.98
7 Sr 0.6635 0.3365 0.5000  6 O 2.51-2.54
8 O 0.7877 0.7877 0.6648  1 Mo 1.99
9 O 0.6817 0.9536 0.3426  1 Mo 1.98
10 O 0.0464 0.3183 0.6574  1 Mo 1.98
11 Cs 0.8328 0.1672 0.0000  4 O 2.98-2.99